No. 1
Below is an optimized crystal structure of Li3AgGe, with properties calculated at the GGA-PBE level. Values from VASP.

Quantum ESPRESSO input file:
```
&SYSTEM
  ibrav = 0, nat = 10, ntyp = 3
/
ATOMIC_SPECIES
Ag 107.87 Ag.upf
Li 6.94 Li.upf
Ge 72.64 Ge.upf
CELL_PARAMETERS angstrom
4.329 0.000 -0.719
0.000 5.339 0.000
-0.939 0.000 7.290
ATOMIC_POSITIONS crystal
Ag 0.464 0.750 0.941
Li 0.890 0.494 0.788
Ge 0.337 0.250 0.679
Li 0.110 0.994 0.212
Li 0.110 0.506 0.212
Li 0.890 0.006 0.788
Ag 0.536 0.250 0.059
Li 0.273 0.750 0.551
Li 0.727 0.250 0.449
Ge 0.663 0.750 0.321
```

Total magnetization in μB/f.u.: 0.00
E in eV/cell: -28.5
Polymorph energy (0 for the lowest one) in meV per atom: 100
Calculated volume in Å³/atom: 16.49
ΔH_f (0 K) in eV/atom: -0.204

***

No. 2
Below is an optimized crystal structure of RuC4I2O4, with properties calculated at the GGA-PBE level. Values from VASP.

Quantum ESPRESSO input file:
```
&SYSTEM
  ibrav = 0, nat = 22, ntyp = 4
/
ATOMIC_SPECIES
O 16.00 O.upf
Ru 101.07 Ru.upf
C 12.01 C.upf
I 126.90 I.upf
CELL_PARAMETERS angstrom
-3.653 2.104 5.460
1.413 -6.749 0.200
11.622 3.215 5.781
ATOMIC_POSITIONS crystal
O 0.999 0.645 0.105
O 0.363 0.293 0.629
O 0.645 0.999 0.605
O 0.707 0.637 0.871
O 0.001 0.355 0.895
Ru 0.003 0.997 0.750
Ru 0.997 0.003 0.250
C 0.186 0.228 0.173
O 0.637 0.707 0.371
C 0.002 0.221 0.840
C 0.814 0.772 0.827
I 0.329 0.986 0.877
I 0.986 0.329 0.377
I 0.671 0.014 0.123
O 0.355 0.001 0.395
I 0.014 0.671 0.623
C 0.998 0.779 0.160
O 0.293 0.363 0.129
C 0.228 0.186 0.673
C 0.772 0.814 0.327
C 0.779 0.998 0.660
C 0.221 0.002 0.340
```

Formation energy from raw total energies in eV per atom: -0.604
Total magnetization in μB/f.u.: 0.00
E in eV/cell: -151.5
Calculated volume in Å³/atom: 26.62

***

No. 3
Below is an optimized crystal structure of CuAs4Cl, with properties calculated at the GGA-PBE level. Values from VASP.

Quantum ESPRESSO input file:
```
&SYSTEM
  ibrav = 0, nat = 6, ntyp = 3
/
ATOMIC_SPECIES
As 74.92 As.upf
Cu 63.55 Cu.upf
Cl 35.45 Cl.upf
CELL_PARAMETERS angstrom
0.000 4.080 4.080
4.080 0.000 4.080
4.080 4.080 0.000
ATOMIC_POSITIONS crystal
As 0.392 0.392 0.392
Cu 0.000 0.000 0.000
Cl 0.750 0.750 0.750
As 0.392 0.392 0.825
As 0.392 0.825 0.392
As 0.825 0.392 0.392
```

Formation energy from raw total energies in eV per atom: 0.384
Total magnetization in μB/f.u.: 0.00
E in eV/cell: -22.2
Calculated volume in Å³/atom: 22.64